Entry 1:
Compound: EuHgO3
Source: Alexandria
Functional: GGA-PBE
Structure: optimized geometry

Lattice parameters (Å, degrees): 4.226 4.226 4.226 90.00 90.00 90.00
Atoms (fractional coordinates):
Eu1 0.000 0.000 0.000
Hg1 0.500 0.500 0.500
O1 0.000 0.500 0.500
O2 0.500 0.000 0.500
O3 0.500 0.500 0.000

## Properties
- VASP energy (eV per atom) = -6.071
- formation energy (no corrections) (eV/f.u.) = -4.903

***

Entry 2:
Compound: MgAgBr4
Source: Alexandria
Functional: GGA-PBE
Structure: optimized geometry

Lattice parameters (Å, degrees): 6.713 3.996 14.948 90.00 112.37 90.00
Atoms (fractional coordinates):
Mg1 0.000 0.000 0.000
Mg2 0.000 0.500 0.500
Ag1 0.500 0.000 0.500
Ag2 0.500 0.500 0.000
Br1 0.215 0.061 0.885
Br2 0.215 0.439 0.385
Br3 0.260 0.003 0.608
Br4 0.260 0.497 0.108
Br5 0.740 0.503 0.892
Br6 0.740 0.997 0.392
Br7 0.785 0.561 0.615
Br8 0.785 0.939 0.115

## Properties
- VASP energy (eV per atom) = -2.675
- energy above the lowest structure with this stoichiometry (eV per formula unit) = 0.000
- formation energy (no corrections) (eV/f.u.) = -4.910